# 1
## Pm3HoTh3Se8 (PBE-GGA)

Data for Pm3HoTh3Se8 after structural relaxation.

**Magnetization**: 0.0 μB/cell
**Crystal system**: trigonal
**V**: 412.21 Å³/f.u.
**Formation energy from raw total energies**: -1.738 eV/atom
**Uncorrected energy**: -0.233 Ha/atom

a b c (Å): 8.372 8.372 8.372
angles (deg): 59.71 59.71 59.71
Fractional positions:
1 Pm 0.000 0.500 0.500
2 Pm 0.500 0.000 0.500
3 Pm 0.500 0.500 0.000
4 Ho 0.500 0.500 0.500
5 Th 0.000 0.000 0.500
6 Th 0.000 0.500 0.000
7 Th 0.500 0.000 0.000
8 Se 0.251 0.251 0.251
9 Se 0.251 0.251 0.748
10 Se 0.251 0.748 0.251
11 Se 0.252 0.749 0.749
12 Se 0.748 0.251 0.251
13 Se 0.749 0.252 0.749
14 Se 0.749 0.749 0.252
15 Se 0.749 0.749 0.749

=====

# 2
## PmHo2Th3Se6 (PBE-GGA)

Data for PmHo2Th3Se6 after structural relaxation.

**Magnetization**: 0.0 μB/cell
**Crystal system**: monoclinic
**V**: 303.94 Å³/f.u.
**Formation energy from raw total energies**: -1.639 eV/atom
**Uncorrected energy**: -0.235 Ha/atom

a b c (Å): 6.984 6.984 7.532
angles (deg): 98.86 98.86 119.64
Fractional positions:
1 Pm 0.000 0.000 0.000
2 Ho 0.332 0.668 0.000
3 Ho 0.668 0.332 0.000
4 Th 0.162 0.838 0.500
5 Th 0.500 0.500 0.500
6 Th 0.838 0.162 0.500
7 Se 0.079 0.421 0.238
8 Se 0.265 0.265 0.768
9 Se 0.421 0.079 0.238
10 Se 0.579 0.921 0.762
11 Se 0.735 0.735 0.232
12 Se 0.921 0.579 0.762

=====

# 3
## Pm4HoTh3Se8 (PBE-GGA)

Data for Pm4HoTh3Se8 after structural relaxation.

**Magnetization**: 0.0 μB/cell
**Crystal system**: trigonal
**V**: 413.79 Å³/f.u.
**Formation energy from raw total energies**: -1.701 eV/atom
**Uncorrected energy**: -0.232 Ha/atom

a b c (Å): 8.404 8.404 8.404
angles (deg): 59.38 59.38 59.38
Fractional positions:
1 Pm 0.000 0.000 0.000
2 Pm 0.000 0.500 0.500
3 Pm 0.500 0.000 0.500
4 Pm 0.500 0.500 0.000
5 Ho 0.500 0.500 0.500
6 Th 0.000 0.000 0.500
7 Th 0.000 0.500 0.000
8 Th 0.500 0.000 0.000
9 Se 0.251 0.251 0.251
10 Se 0.254 0.254 0.743
11 Se 0.254 0.743 0.254
12 Se 0.257 0.746 0.746
13 Se 0.743 0.254 0.254
14 Se 0.746 0.257 0.746
15 Se 0.746 0.746 0.257
16 Se 0.749 0.749 0.749

=====

# 4
## PmHo3Th4Se8 (PBE-GGA)

Data for PmHo3Th4Se8 after structural relaxation.

**Magnetization**: 0.0 μB/cell
**Crystal system**: trigonal
**V**: 403.34 Å³/f.u.
**Formation energy from raw total energies**: -1.643 eV/atom
**Uncorrected energy**: -0.235 Ha/atom

a b c (Å): 8.494 8.494 8.494
angles (deg): 56.99 56.99 56.99
Fractional positions:
1 Pm 0.000 0.000 0.000
2 Ho 0.000 0.500 0.500
3 Ho 0.500 0.000 0.500
4 Ho 0.500 0.500 0.000
5 Th 0.000 0.000 0.500
6 Th 0.000 0.500 0.000
7 Th 0.500 0.000 0.000
8 Th 0.500 0.500 0.500
9 Se 0.248 0.248 0.740
10 Se 0.248 0.740 0.248
11 Se 0.256 0.256 0.256
12 Se 0.260 0.752 0.752
13 Se 0.740 0.248 0.248
14 Se 0.744 0.744 0.744
15 Se 0.752 0.260 0.752
16 Se 0.752 0.752 0.260

=====

# 5
## PmHo2ThSe4 (PBE-GGA)

Data for PmHo2ThSe4 after structural relaxation.

**Magnetization**: 0.0 μB/cell
**Crystal system**: monoclinic
**V**: 198.98 Å³/f.u.
**Formation energy from raw total energies**: -1.698 eV/atom
**Uncorrected energy**: -0.224 Ha/atom

a b c (Å): 7.097 4.071 7.277
angles (deg): 90.00 108.82 90.00
Fractional positions:
1 Pm 0.000 0.000 0.000
2 Ho 0.000 0.500 0.500
3 Ho 0.500 0.000 0.500
4 Th 0.500 0.500 0.000
5 Se 0.244 0.000 0.734
6 Se 0.254 0.500 0.264
7 Se 0.746 0.500 0.736
8 Se 0.756 0.000 0.266

=====

# 6
## PmHoTh2Se4 (PBE-GGA)

Data for PmHoTh2Se4 after structural relaxation.

**Magnetization**: 0.0 μB/cell
**Crystal system**: monoclinic
**V**: 204.38 Å³/f.u.
**Formation energy from raw total energies**: -1.645 eV/atom
**Uncorrected energy**: -0.236 Ha/atom

a b c (Å): 7.058 4.129 7.414
angles (deg): 90.00 108.92 90.00
Fractional positions:
1 Pm 0.000 0.000 0.000
2 Ho 0.500 0.500 0.000
3 Th 0.000 0.500 0.500
4 Th 0.500 0.000 0.500
5 Se 0.253 0.500 0.241
6 Se 0.260 0.000 0.763
7 Se 0.740 0.000 0.237
8 Se 0.747 0.500 0.759

=====

# 7
## Pm2HoThSe5 (PBE-GGA)

Data for Pm2HoThSe5 after structural relaxation.

**Magnetization**: 0.0 μB/cell
**Crystal system**: tetragonal
**V**: 285.44 Å³/f.u.
**Formation energy from raw total energies**: -1.143 eV/atom
**Uncorrected energy**: -0.201 Ha/atom

a b c (Å): 5.105 5.105 10.953
angles (deg): 90.00 90.00 90.00
Fractional positions:
1 Pm 0.000 0.000 0.166
2 Pm 0.000 0.000 0.834
3 Ho 0.500 0.500 0.000
4 Th 0.500 0.500 0.500
5 Se 0.000 0.000 0.500
6 Se 0.000 0.500 0.000
7 Se 0.500 0.000 0.000
8 Se 0.500 0.500 0.251
9 Se 0.500 0.500 0.749

=====

# 8
## Pm3HoTh2Se6 (PBE-GGA)

Data for Pm3HoTh2Se6 after structural relaxation.

**Magnetization**: 0.0 μB/cell
**Crystal system**: monoclinic
**V**: 309.62 Å³/f.u.
**Formation energy from raw total energies**: -1.705 eV/atom
**Uncorrected energy**: -0.230 Ha/atom

a b c (Å): 9.342 9.342 8.375
angles (deg): 102.87 102.87 25.79
Fractional positions:
1 Pm 0.000 0.000 0.000
2 Pm 0.331 0.331 0.667
3 Pm 0.669 0.669 0.333
4 Ho 0.000 0.000 0.500
5 Th 0.331 0.331 0.160
6 Th 0.669 0.669 0.840
7 Se 0.162 0.162 0.581
8 Se 0.164 0.164 0.087
9 Se 0.500 0.500 0.260
10 Se 0.500 0.500 0.740
11 Se 0.836 0.836 0.913
12 Se 0.838 0.838 0.419

=====

# 9
## PmHo2Tl3Se6 (PBE-GGA)

Data for PmHo2Tl3Se6 after structural relaxation.

**Magnetization**: 0.0 μB/cell
**Crystal system**: monoclinic
**V**: 358.08 Å³/f.u.
**Formation energy from raw total energies**: -1.383 eV/atom
**Uncorrected energy**: -0.179 Ha/atom

a b c (Å): 7.294 7.294 8.142
angles (deg): 98.59 98.59 119.99
Fractional positions:
1 Pm 0.000 0.000 0.000
2 Ho 0.333 0.667 0.000
3 Ho 0.667 0.333 0.000
4 Tl 0.165 0.835 0.500
5 Tl 0.500 0.500 0.500
6 Tl 0.835 0.165 0.500
7 Se 0.069 0.410 0.206
8 Se 0.273 0.273 0.796
9 Se 0.410 0.069 0.206
10 Se 0.590 0.931 0.794
11 Se 0.727 0.727 0.204
12 Se 0.931 0.590 0.794

=====

# 10
## Pm3HoTl3Se8 (PBE-GGA)

Data for Pm3HoTl3Se8 after structural relaxation.

**Magnetization**: 0.0 μB/cell
**Crystal system**: trigonal
**V**: 477.29 Å³/f.u.
**Formation energy from raw total energies**: -1.387 eV/atom
**Uncorrected energy**: -0.183 Ha/atom

a b c (Å): 9.063 9.063 9.063
angles (deg): 55.98 55.98 55.98
Fractional positions:
1 Pm 0.000 0.500 0.500
2 Pm 0.500 0.000 0.500
3 Pm 0.500 0.500 0.000
4 Ho 0.000 0.000 0.000
5 Tl 0.000 0.000 0.500
6 Tl 0.000 0.500 0.000
7 Tl 0.500 0.000 0.000
8 Se 0.233 0.233 0.744
9 Se 0.233 0.744 0.233
10 Se 0.256 0.767 0.767
11 Se 0.262 0.262 0.262
12 Se 0.738 0.738 0.738
13 Se 0.744 0.233 0.233
14 Se 0.767 0.256 0.767
15 Se 0.767 0.767 0.256

=====

# 11
## PmHoTl2Se4 (PBE-GGA)

Data for PmHoTl2Se4 after structural relaxation.

**Magnetization**: 0.0 μB/cell
**Crystal system**: monoclinic
**V**: 241.06 Å³/f.u.
**Formation energy from raw total energies**: -1.382 eV/atom
**Uncorrected energy**: -0.179 Ha/atom

a b c (Å): 7.333 4.232 8.141
angles (deg): 90.00 107.44 90.00
Fractional positions:
1 Pm 0.000 0.000 0.000
2 Ho 0.500 0.500 0.000
3 Tl 0.000 0.500 0.500
4 Tl 0.500 0.000 0.500
5 Se 0.243 0.500 0.208
6 Se 0.272 0.000 0.795
7 Se 0.728 0.000 0.205
8 Se 0.757 0.500 0.792

=====

# 12
## Pm2HoTl3Se6 (PBE-GGA)

Data for Pm2HoTl3Se6 after structural relaxation.

**Magnetization**: 0.0 μB/cell
**Crystal system**: monoclinic
**V**: 364.84 Å³/f.u.
**Formation energy from raw total energies**: -1.383 eV/atom
**Uncorrected energy**: -0.180 Ha/atom

a b c (Å): 7.366 7.366 8.143
angles (deg): 98.67 98.67 119.99
Fractional positions:
1 Pm 0.167 0.833 0.000
2 Pm 0.833 0.167 0.000
3 Ho 0.500 0.500 0.000
4 Tl 0.000 0.000 0.500
5 Tl 0.332 0.668 0.500
6 Tl 0.668 0.332 0.500
7 Se 0.105 0.431 0.793
8 Se 0.244 0.244 0.209
9 Se 0.431 0.105 0.793
10 Se 0.569 0.895 0.207
11 Se 0.756 0.756 0.791
12 Se 0.895 0.569 0.207

=====

# 13
## Pm3HoTl4Se8 (PBE-GGA)

Data for Pm3HoTl4Se8 after structural relaxation.

**Magnetization**: 0.0 μB/cell
**Crystal system**: trigonal
**V**: 488.96 Å³/f.u.
**Formation energy from raw total energies**: -1.383 eV/atom
**Uncorrected energy**: -0.180 Ha/atom

a b c (Å): 9.192 9.192 9.192
angles (deg): 55.28 55.28 55.28
Fractional positions:
1 Pm 0.000 0.500 0.500
2 Pm 0.500 0.000 0.500
3 Pm 0.500 0.500 0.000
4 Ho 0.000 0.000 0.000
5 Tl 0.000 0.000 0.500
6 Tl 0.000 0.500 0.000
7 Tl 0.500 0.000 0.000
8 Tl 0.500 0.500 0.500
9 Se 0.232 0.232 0.743
10 Se 0.232 0.743 0.232
11 Se 0.257 0.768 0.768
12 Se 0.263 0.263 0.263
13 Se 0.737 0.737 0.737
14 Se 0.743 0.232 0.232
15 Se 0.768 0.257 0.768
16 Se 0.768 0.768 0.257

=====

# 14
## Pm3Ho2TmSe6 (PBE-GGA)

Data for Pm3Ho2TmSe6 after structural relaxation.

**Magnetization**: 0.0 μB/cell
**Crystal system**: monoclinic
**V**: 296.73 Å³/f.u.
**Formation energy from raw total energies**: -1.774 eV/atom
**Uncorrected energy**: -0.215 Ha/atom

a b c (Å): 9.258 9.258 8.338
angles (deg): 104.52 104.52 25.44
Fractional positions:
1 Pm 0.000 0.000 0.000
2 Pm 0.332 0.332 0.667
3 Pm 0.668 0.668 0.333
4 Ho 0.333 0.333 0.166
5 Ho 0.667 0.667 0.834
6 Tm 0.000 0.000 0.500
7 Se 0.162 0.162 0.590
8 Se 0.169 0.169 0.076
9 Se 0.497 0.497 0.261
10 Se 0.503 0.503 0.739
11 Se 0.831 0.831 0.924
12 Se 0.838 0.838 0.410

=====

# 15
## Pm2HoTmSe4 (PBE-GGA)

Data for Pm2HoTmSe4 after structural relaxation.

**Magnetization**: 0.0 μB/cell
**Crystal system**: monoclinic
**V**: 197.40 Å³/f.u.
**Formation energy from raw total energies**: -1.769 eV/atom
**Uncorrected energy**: -0.214 Ha/atom

a b c (Å): 7.048 4.046 7.305
angles (deg): 90.00 108.60 90.00
Fractional positions:
1 Pm 0.000 0.000 0.000
2 Pm 0.500 0.500 0.000
3 Ho 0.000 0.500 0.500
4 Tm 0.500 0.000 0.500
5 Se 0.247 0.000 0.735
6 Se 0.258 0.500 0.266
7 Se 0.742 0.500 0.734
8 Se 0.753 0.000 0.265

=====

# 16
## PmHo2Tm3Se6 (PBE-GGA)

Data for PmHo2Tm3Se6 after structural relaxation.

**Magnetization**: 0.0 μB/cell
**Crystal system**: monoclinic
**V**: 283.80 Å³/f.u.
**Formation energy from raw total energies**: -1.712 eV/atom
**Uncorrected energy**: -0.211 Ha/atom

a b c (Å): 7.012 7.012 7.080
angles (deg): 99.45 99.45 120.28
Fractional positions:
1 Pm 0.000 0.000 0.000
2 Ho 0.335 0.665 0.000
3 Ho 0.665 0.335 0.000
4 Tm 0.160 0.840 0.500
5 Tm 0.500 0.500 0.500
6 Tm 0.840 0.160 0.500
7 Se 0.086 0.429 0.260
8 Se 0.257 0.257 0.745
9 Se 0.429 0.086 0.260
10 Se 0.571 0.914 0.740
11 Se 0.743 0.743 0.255
12 Se 0.914 0.571 0.740

=====

# 17
## Pm3HoTm2Se6 (PBE-GGA)

Data for Pm3HoTm2Se6 after structural relaxation.

**Magnetization**: 0.0 μB/cell
**Crystal system**: monoclinic
**V**: 295.39 Å³/f.u.
**Formation energy from raw total energies**: -1.765 eV/atom
**Uncorrected energy**: -0.214 Ha/atom

a b c (Å): 9.254 9.254 8.339
angles (deg): 104.78 104.78 25.37
Fractional positions:
1 Pm 0.000 0.000 0.000
2 Pm 0.334 0.334 0.667
3 Pm 0.666 0.666 0.333
4 Ho 0.000 0.000 0.500
5 Tm 0.334 0.334 0.168
6 Tm 0.666 0.666 0.832
7 Se 0.164 0.164 0.594
8 Se 0.171 0.171 0.073
9 Se 0.496 0.496 0.257
10 Se 0.504 0.504 0.743
11 Se 0.829 0.829 0.927
12 Se 0.836 0.836 0.406

=====

# 18
## Pm4HoTmSe8 (PBE-GGA)

Data for Pm4HoTmSe8 after structural relaxation.

**Magnetization**: 0.0 μB/cell
**Crystal system**: trigonal
**V**: 440.71 Å³/f.u.
**Formation energy from raw total energies**: -1.718 eV/atom
**Uncorrected energy**: -0.210 Ha/atom

a b c (Å): 8.533 8.533 8.533
angles (deg): 60.13 60.13 60.13
Fractional positions:
1 Pm 0.000 0.000 0.000
2 Pm 0.378 0.378 0.874
3 Pm 0.378 0.874 0.378
4 Pm 0.874 0.378 0.378
5 Ho 0.753 0.753 0.753
6 Tm 0.377 0.377 0.377
7 Se 0.133 0.133 0.133
8 Se 0.142 0.142 0.598
9 Se 0.142 0.598 0.142
10 Se 0.144 0.614 0.614
11 Se 0.598 0.142 0.142
12 Se 0.614 0.144 0.614
13 Se 0.614 0.614 0.144
14 Se 0.623 0.623 0.623

=====

# 19
## PmHo3Tm2Se6 (PBE-GGA)

Data for PmHo3Tm2Se6 after structural relaxation.

**Magnetization**: 0.0 μB/cell
**Crystal system**: monoclinic
**V**: 285.15 Å³/f.u.
**Formation energy from raw total energies**: -1.721 eV/atom
**Uncorrected energy**: -0.211 Ha/atom

a b c (Å): 7.050 7.050 7.045
angles (deg): 99.54 99.54 120.29
Fractional positions:
1 Pm 0.000 0.000 0.000
2 Ho 0.158 0.842 0.500
3 Ho 0.500 0.500 0.500
4 Ho 0.842 0.158 0.500
5 Tm 0.335 0.665 0.000
6 Tm 0.665 0.335 0.000
7 Se 0.084 0.430 0.254
8 Se 0.262 0.262 0.753
9 Se 0.430 0.084 0.254
10 Se 0.570 0.916 0.746
11 Se 0.738 0.738 0.247
12 Se 0.916 0.570 0.746

=====

# 20
## PmHoTm2Se4 (PBE-GGA)

Data for PmHoTm2Se4 after structural relaxation.

**Magnetization**: 0.0 μB/cell
**Crystal system**: monoclinic
**V**: 191.04 Å³/f.u.
**Formation energy from raw total energies**: -1.717 eV/atom
**Uncorrected energy**: -0.211 Ha/atom

a b c (Å): 7.010 4.005 7.181
angles (deg): 90.00 108.63 90.00
Fractional positions:
1 Pm 0.000 0.000 0.000
2 Ho 0.500 0.500 0.000
3 Tm 0.000 0.500 0.500
4 Tm 0.500 0.000 0.500
5 Se 0.252 0.000 0.741
6 Se 0.260 0.500 0.263
7 Se 0.740 0.500 0.737
8 Se 0.748 0.000 0.259

=====

# 21
## PmHoTm2Se6 (PBE-GGA)

Data for PmHoTm2Se6 after structural relaxation.

**Magnetization**: 0.0 μB/cell
**Crystal system**: trigonal
**V**: 290.21 Å³/f.u.
**Formation energy from raw total energies**: -1.840 eV/atom
**Uncorrected energy**: -0.212 Ha/atom

a b c (Å): 7.681 7.681 7.681
angles (deg): 55.93 55.93 55.93
Fractional positions:
1 Pm 0.000 0.000 0.000
2 Ho 0.496 0.496 0.496
3 Tm 0.300 0.300 0.300
4 Tm 0.802 0.802 0.802
5 Se 0.086 0.687 0.417
6 Se 0.200 0.584 0.903
7 Se 0.417 0.086 0.687
8 Se 0.584 0.903 0.200
9 Se 0.687 0.417 0.086
10 Se 0.903 0.200 0.584